Record 1
First-principles (GGA-PBEsol) data for a relaxed structure of RbTcBiMo2, as listed in Alexandria via LeMat-Bulk.

Lattice parameters (Å, degrees): 5.2899 5.2899 5.1599 90.00 90.00 90.00
Closest atoms and distances in Å follow each position.
Space group P4/mmm (No. 123)
Unique sites:
Rb: 0.0000 0.0000 0.0000  8 Mo 3.69, 4 Tc 3.74
Tc: 0.5000 0.5000 0.0000  2 Bi 2.58
Bi: 0.5000 0.5000 0.5000  2 Tc 2.58, 4 Mo 2.64
Mo: 0.0000 0.5000 0.5000  2 Bi 2.64

Summary:
- Calculated formation energy: 2436 meV per atom
- M_tot: 3.51 Bohr magnetons per cell

Record 2
First-principles (GGA-PBEsol) data for a relaxed structure of BiTeMoRh2, as listed in Alexandria via LeMat-Bulk.

Lattice parameters (Å, degrees): 4.7275 4.7275 5.7243 90.00 90.00 90.00
Closest atoms and distances in Å follow each position.
Space group P4/mmm (No. 123)
Unique sites:
Bi: 0.0000 0.0000 0.0000  2 Te 2.86
Te: 0.0000 0.0000 0.5000  4 Rh 2.36
Mo: 0.5000 0.5000 0.0000  4 Bi 3.34, 8 Rh 3.71
Rh: 0.0000 0.5000 0.5000  2 Te 2.36

Summary:
- Formation energy from raw total energies: 7.9 eV per formula unit
- M_tot: 3.94 Bohr magnetons per cell

Record 3
First-principles (GGA-PBEsol) data for a relaxed structure of Bi3MoRu, as listed in Alexandria via LeMat-Bulk.

Lattice parameters (Å, degrees): 5.1843 5.1843 5.1843 90.00 90.00 90.00
Closest atoms and distances in Å follow each position.
Space group Pm-3m (No. 221)
Unique sites:
Bi: 0.0000 0.0000 0.5000  2 Ru 2.59
Mo: 0.5000 0.5000 0.5000  12 Bi 3.67
Ru: 0.0000 0.0000 0.0000  6 Bi 2.59

Summary:
- Calculated formation energy: 1237 meV per atom
- M_tot: 3.93 Bohr magnetons per cell

Record 4
First-principles (GGA-PBEsol) data for a relaxed structure of BiMo6S8, as listed in Alexandria via LeMat-Bulk.

Lattice parameters (Å, degrees): 9.0790 9.0790 11.2776 90.00 90.00 120.00
Closest atoms and distances in Å follow each position.
Space group R-3 (No. 148, hexagonal axes)
Unique sites:
Bi: 0.0000 0.0000 0.0000  8 S 2.72-3.02
Mo: 0.0173 0.1780 0.4006  5 S 2.37-2.53
S: 0.0000 0.0000 0.2410  3 Mo 2.37
S: 0.0034 0.3784 0.2510  4 Mo 2.41-2.53

Summary:
- Formation energy from raw total energies: -10.8 eV per formula unit
- M_tot: 0.00 Bohr magnetons per cell

Record 5
First-principles (GGA-PBEsol) data for a relaxed structure of BiSbMo3, as listed in Alexandria via LeMat-Bulk.

Lattice parameters (Å, degrees): 4.9963 4.9963 4.9963 90.00 90.00 90.00
Closest atoms and distances in Å follow each position.
Space group Pm-3m (No. 221)
Unique sites:
Bi: 0.0000 0.0000 0.0000  6 Mo 2.50
Sb: 0.5000 0.5000 0.5000  12 Mo 3.53
Mo: 0.0000 0.0000 0.5000  2 Bi 2.50

Summary:
- Formation energy from raw total energies: 12.0 eV per formula unit
- M_tot: 2.77 Bohr magnetons per cell

Record 6
First-principles (GGA-PBEsol) data for a relaxed structure of BiSb3Mo, as listed in Alexandria via LeMat-Bulk.

Lattice parameters (Å, degrees): 5.6712 5.6712 5.6712 90.00 90.00 90.00
Closest atoms and distances in Å follow each position.
Space group Pm-3m (No. 221)
Unique sites:
Bi: 0.0000 0.0000 0.0000  6 Sb 2.84
Sb: 0.0000 0.0000 0.5000  2 Bi 2.84
Mo: 0.5000 0.5000 0.5000  12 Sb 4.01

Summary:
- Formation energy from raw total energies: 9.0 eV per formula unit
- M_tot: 3.58 Bohr magnetons per cell

Record 7
First-principles (GGA-PBEsol) data for a relaxed structure of TcBiSbMo2, as listed in Alexandria via LeMat-Bulk.

Lattice parameters (Å, degrees): 4.9135 4.9135 5.5167 90.00 90.00 90.00
Closest atoms and distances in Å follow each position.
Space group P4/mmm (No. 123)
Unique sites:
Tc: 0.0000 0.0000 0.0000  4 Bi 3.47, 8 Mo 3.69
Bi: 0.5000 0.5000 0.0000  2 Sb 2.76
Sb: 0.5000 0.5000 0.5000  4 Mo 2.46
Mo: 0.0000 0.5000 0.5000  2 Sb 2.46

Summary:
- Formation energy from raw total energies: 12.4 eV per formula unit
- M_tot: 0.16 Bohr magnetons per cell

Record 8
First-principles (GGA-PBEsol) data for a relaxed structure of Bi2MoSe, as listed in Alexandria via LeMat-Bulk.

Lattice parameters (Å, degrees): 6.3898 6.3898 12.8360 90.00 90.00 90.00
Closest atoms and distances in Å follow each position.
Space group I-42d (No. 122)
Unique sites:
Bi: 0.2144 0.2500 0.1250  2 Mo 2.65, 2 Se 2.91
Mo: 0.0000 0.0000 0.0000  4 Bi 2.65
Se: 0.0000 0.0000 0.5000  4 Bi 2.91

Summary:
- Formation energy from raw total energies: 3.5 eV per formula unit
- M_tot: 0.01 Bohr magnetons per cell

Record 9
First-principles (GGA-PBEsol) data for a relaxed structure of Bi2TeMoSe, as listed in Alexandria via LeMat-Bulk.

Lattice parameters (Å, degrees): 5.4229 5.4229 5.2632 90.00 90.00 90.00
Closest atoms and distances in Å follow each position.
Space group P4/mmm (No. 123)
Unique sites:
Bi: 0.0000 0.5000 0.0000  2 Se 2.71
Te: 0.0000 0.0000 0.5000  2 Se 2.63
Mo: 0.5000 0.5000 0.5000  8 Bi 3.78, 4 Te 3.83
Se: 0.0000 0.0000 0.0000  2 Te 2.63, 4 Bi 2.71

Summary:
- Formation energy from raw total energies: 6.3 eV per formula unit
- M_tot: 3.18 Bohr magnetons per cell

Record 10
First-principles (GGA-PBEsol) data for a relaxed structure of SiBi3Mo, as listed in Alexandria via LeMat-Bulk.

Lattice parameters (Å, degrees): 5.2627 5.2627 5.2627 90.00 90.00 90.00
Closest atoms and distances in Å follow each position.
Space group Pm-3m (No. 221)
Unique sites:
Si: 0.0000 0.0000 0.0000  6 Bi 2.63
Bi: 0.0000 0.0000 0.5000  2 Si 2.63
Mo: 0.5000 0.5000 0.5000  12 Bi 3.72

Summary:
- Formation energy from raw total energies: 6.7 eV per formula unit
- M_tot: 3.65 Bohr magnetons per cell

no.,uncorrected energy (eV per cell)
1,-27.9
2,-27.9
3,-28.6
4,-362.1
5,-32.1
6,-20.7
7,-31.2
8,-82.9
9,-21.4
10,-23.6